DFT (PBE) results for a geometry-optimized K2CeCuI6 structure.

Results
The relative energy among the computed polymorphs comes out at 57 meV per atom. The calculation puts the uncorrected energy at -0.236 Ry per atom. The magnetization comes out at 4.00 μB per cell. The energy relative to the elements, uncorrected is -1056 meV/atom.

Lattice parameters (Å, degrees): 11.9631 11.9631 11.9631 90.00 90.00 90.00
Last column: nearest neighbours and their distance in Å.
Space group Fm-3m (No. 225)
Unique sites:
1 K 0.2500 0.2500 0.2500 [8 per cell]  12 I 4.23
2 Ce 0.0000 0.0000 0.0000 [4 per cell]  6 I 3.12
3 Cu 0.0000 0.0000 0.5000 [4 per cell]  6 I 2.86
4 I 0.0000 0.0000 0.2606 [24 per cell]  1 Cu 2.86, 1 Ce 3.12